# Na2Cd11 (PBEsol, relaxed)
data_Na2Cd11
_chemical_formula_sum 'Na6 Cd33'
_symmetry_space_group_name_H-M 'P 1'
_symmetry_Int_Tables_number 1
_symmetry_space_group_name_Hall 'P 1'
_cell_length_a 9.494
_cell_length_b 9.494
_cell_length_c 9.494
_cell_angle_alpha 90.00
_cell_angle_beta 90.00
_cell_angle_gamma 90.00
loop_
_atom_site_label
_atom_site_fract_x
_atom_site_fract_y
_atom_site_fract_z
Na1 0.000 0.302 0.500
Na2 0.000 0.698 0.500
Na3 0.302 0.500 0.000
Na4 0.500 0.000 0.302
Na5 0.500 0.000 0.698
Na6 0.698 0.500 0.000
Cd1 0.000 0.000 0.231
Cd2 0.000 0.000 0.769
Cd3 0.000 0.231 0.000
Cd4 0.000 0.500 0.158
Cd5 0.000 0.500 0.842
Cd6 0.000 0.769 0.000
Cd7 0.158 0.000 0.500
Cd8 0.218 0.218 0.218
Cd9 0.218 0.218 0.782
Cd10 0.218 0.782 0.218
Cd11 0.218 0.782 0.782
Cd12 0.231 0.000 0.000
Cd13 0.233 0.500 0.344
Cd14 0.233 0.500 0.656
Cd15 0.344 0.233 0.500
Cd16 0.344 0.767 0.500
Cd17 0.500 0.158 0.000
Cd18 0.500 0.344 0.233
Cd19 0.500 0.344 0.767
Cd20 0.500 0.500 0.500
Cd21 0.500 0.656 0.233
Cd22 0.500 0.656 0.767
Cd23 0.500 0.842 0.000
Cd24 0.656 0.233 0.500
Cd25 0.656 0.767 0.500
Cd26 0.767 0.500 0.344
Cd27 0.767 0.500 0.656
Cd28 0.769 0.000 0.000
Cd29 0.782 0.218 0.218
Cd30 0.782 0.218 0.782
Cd31 0.782 0.782 0.218
Cd32 0.782 0.782 0.782
Cd33 0.842 0.000 0.500
# Space-group type: No. 200
# Total DFT energy (no corrections), eV per cell: -51.14
# Magnetic moment, Bohr magnetons per cell: 0.0